Below is crystalline Rb3Li3CoF8 at its relaxed geometry, with properties calculated at the PBE+U level.

The space group is C2/m (No. 12) and the conventional cell measures 11.3238, 6.5486 and 7.2556 Å, with angles of 90.00, 121.22 and 90.00 degrees. The inequivalent atoms are Rb at (0.0000, 0.0000, 0.0000), Rb at (0.2500, 0.2500, 0.0000), Li at (0.0000, 0.5000, 0.5000), Li at (0.2500, 0.2500, 0.5000), Co at (0.0000, 0.0000, 0.5000), F at (0.0210, 0.2377, 0.3264), F at (0.2155, 0.0000, 0.6738) and F at (0.2258, 0.5000, 0.6756).

Its density of states at the Fermi level is 0.0 states/eV per cell. The density is 3.52 g/cm3. Its raw total energy is -4.475 eV per atom.